The following is a PBE-GGA calculation of a relaxed structure of HgAsHSe2, from the Alexandria database.

Values from the calculation:
calculated volume: 30.4 A^3/atom
total moment: 1.70 Bohr magnetons per cell
space group: P4/mmm (123)
distance to the lowest polymorph of the same formula: 726 meV per atom

Cell lengths 5.3576, 5.3576, 5.3030 Å; angles 90.00, 90.00, 90.00 degrees
Last column: magnetic moment on the atom in μB.
Sites, in units of the cell vectors:
Se 0.0000 0.5000 0.0000  -0.10
Se 0.5000 0.0000 0.0000  -0.10
H 0.5000 0.5000 0.5000  0.37
As 0.0000 0.0000 0.5000  0.50
Hg 0.0000 0.0000 0.0000  0.01

***

The following is a PBE-GGA calculation of a relaxed structure of HgAsHSe2, from the Alexandria database.

Values from the calculation:
calculated volume: 18.6 A^3/atom
total moment: 0.00 Bohr magnetons per cell
space group: P4/mmm (123)
distance to the lowest polymorph of the same formula: 0 meV per atom

Cell lengths 5.2250, 5.2250, 3.4011 Å; angles 90.00, 90.00, 90.00 degrees
Sites, in units of the cell vectors:
Hg 0.5000 0.5000 0.5000
Se 0.0000 0.5000 0.0000
Se 0.5000 0.0000 0.0000
H 0.0000 0.0000 0.0000
As 0.0000 0.0000 0.5000

***

The following is a PBE-GGA calculation of a relaxed structure of HgTeAs2H, from the Alexandria database.

Values from the calculation:
electronic total energy: -1.8756 eV per atom
calculated volume: 31.9 A^3/atom
total moment: 1.56 Bohr magnetons per cell
space group: P4/mmm (123)

Cell lengths 5.2559, 5.7774, 5.2559 Å; angles 90.00, 90.00, 90.00 degrees
Last column: magnetic moment on the atom in μB.
Sites, in units of the cell vectors:
Hg 0.0000 0.0000 0.0000  0.01
Te 0.0000 0.5000 0.0000  -0.05
H 0.5000 0.5000 0.5000  0.37
As 0.5000 0.0000 0.0000  0.20
As 0.0000 0.0000 0.5000  0.14